# 1
VASP calculation (PBE-GGA) on a relaxed CaPr4Rh crystal.

Energy of formation = -0.93 eV/f.u.
Space group = Immm, No. 71
Magnetization = 0.01 μB per cell

a b c (Å): 9.843 9.843 9.843
angles (deg): 142.56 134.39 60.42
Positions (direct):
Ca  0.199  0.199  0.000
Ca  0.801  0.801  0.000
Pr  0.138  0.389  0.748
Pr  0.218  0.000  0.218
Pr  0.328  0.828  0.500
Pr  0.359  0.611  0.748
Pr  0.641  0.389  0.252
Pr  0.672  0.172  0.500
Pr  0.782  0.000  0.782
Pr  0.862  0.611  0.252
Rh  0.500  0.278  0.778
Rh  0.500  0.722  0.222

=====

# 2
VASP calculation (PBE-GGA) on a relaxed CaPr3Rh crystal.

Energy of formation = -1.02 eV/f.u.
Space group = Pm-3m, No. 221
Distance to the lowest polymorph of the same formula = 7.3 meV/atom
Magnetization = 0.00 μB per cell

a b c (Å): 5.674 5.674 5.674
angles (deg): 90.00 90.00 90.00
Positions (direct):
Ca  0.000  0.000  0.000
Pr  0.000  0.500  0.500
Pr  0.500  0.000  0.500
Pr  0.500  0.500  0.000
Rh  0.500  0.500  0.500

=====

# 3
VASP calculation (PBE-GGA) on a relaxed CaPr3Rh2 crystal.

Energy of formation = -2.72 eV/f.u.
Space group = Ibam, No. 72
Distance to the lowest polymorph of the same formula = 0.0 meV/atom
Magnetization = 0.00 μB per cell

a b c (Å): 8.612 8.612 8.612
angles (deg): 132.30 72.04 129.44
Positions (direct):
Ca  0.000  0.000  0.000
Ca  0.500  0.500  0.000
Pr  0.017  0.250  0.767
Pr  0.250  0.750  0.500
Pr  0.483  0.250  0.233
Pr  0.517  0.750  0.767
Pr  0.750  0.250  0.500
Pr  0.983  0.750  0.233
Rh  0.139  0.708  0.847
Rh  0.361  0.208  0.569
Rh  0.639  0.792  0.431
Rh  0.861  0.292  0.153

=====

# 4
VASP calculation (PBE-GGA) on a relaxed CaPr3Rh crystal.

Energy of formation = -1.05 eV/f.u.
Space group = P2_1/c, No. 14
Distance to the lowest polymorph of the same formula = 0.0 meV/atom
Magnetization = 0.00 μB per cell

a b c (Å): 8.218 7.603 10.662
angles (deg): 90.00 106.03 90.00
Positions (direct):
Ca  0.195  0.043  0.254
Ca  0.195  0.457  0.754
Ca  0.805  0.543  0.246
Ca  0.805  0.957  0.746
Pr  0.077  0.706  0.027
Pr  0.077  0.794  0.527
Pr  0.288  0.504  0.377
Pr  0.288  0.996  0.877
Pr  0.410  0.129  0.606
Pr  0.410  0.371  0.106
Pr  0.590  0.629  0.894
Pr  0.590  0.871  0.394
Pr  0.712  0.004  0.123
Pr  0.712  0.496  0.623
Pr  0.923  0.206  0.473
Pr  0.923  0.294  0.973
Rh  0.439  0.736  0.605
Rh  0.439  0.764  0.105
Rh  0.561  0.236  0.895
Rh  0.561  0.264  0.395

=====

Number 4 is which compound?
CaPr3Rh